This record from Alexandria via LeMat-Bulk describes Li2CoRe after structural relaxation. The functional is PBE-GGA.

Cell and atoms, written as POSCAR:
```
Li2CoRe
1.0
-2.973 2.960 -1.481
-0.829 -2.101 -2.535
-2.386 -1.418 1.955
Co Li Re
1 2 1
Cartesian
-2.679 0.771 0.237
0.000 0.000 0.000
-1.607 -1.760 -0.290
-1.901 0.429 -2.008
```

Summary:
polymorph energy (0 for the lowest one): 232 meV per atom
E_tot: -21.733 eV/cell
size of the total moment: 0.0 μB per formula unit
calculated formation energy: 0.41 eV/atom